Arrangement i

Below is a relaxed AcPmNO crystal, with properties calculated at the PBE level.

## Properties
- Total moment: 1.6 μB/cell

abc: 4.4511 4.4511 9.0501
angles: 90.00 90.00 90.00
With the nearest neighbours (Å) after each atom.
Positions (direct):
Ac  0.2500  0.2500  0.1248  4 O 2.50
Ac  0.7500  0.7500  0.8752  4 O 2.50
Pm  0.2500  0.7500  0.5000  4 N 2.44
Pm  0.7500  0.2500  0.5000  4 N 2.44
N  0.2500  0.2500  0.6112  4 Pm 2.44
N  0.7500  0.7500  0.3888  4 Pm 2.44
O  0.2500  0.7500  0.0000  4 Ac 2.50
O  0.7500  0.2500  0.0000  4 Ac 2.50

Arrangement ii

Below is a relaxed AcPmNO crystal, with properties calculated at the PBE level.

## Properties
- Total moment: 1.8 μB/cell

abc: 4.0974 7.1101 6.0579
angles: 90.00 90.00 90.00
With the nearest neighbours (Å) after each atom.
Positions (direct):
Ac  0.0000  0.1552  0.0000  2 N 2.51-2.57, 2 O 2.60
Ac  0.0000  0.8448  0.5000  2 N 2.51-2.57, 2 O 2.60
Pm  0.5000  0.3265  0.5131  2 O 2.32-2.34, 2 N 2.32
Pm  0.5000  0.6735  0.0131  2 O 2.32-2.34, 2 N 2.32
N  0.0000  0.1983  0.4119  2 Pm 2.32, 2 Ac 2.51-2.57
N  0.0000  0.8017  0.9119  2 Pm 2.32, 2 Ac 2.51-2.57
O  0.5000  0.3623  0.8979  2 Pm 2.32-2.34, 2 Ac 2.60
O  0.5000  0.6377  0.3979  2 Pm 2.32-2.34, 2 Ac 2.60

The structure with the greatest stability is arrangement ii.

Arrangement i

Below is a relaxed AcReNO crystal, with properties calculated at the PBE level.

## Properties
- Total moment: 0.0 μB/cell

abc: 8.1074 6.9401 5.0383
angles: 90.00 90.00 90.00
With the nearest neighbours (Å) after each atom.
Positions (direct):
Ac  0.0743  0.2009  0.0000  3 N 2.55-2.64, 2 O 2.60-2.62
Ac  0.4257  0.2009  0.5000  3 N 2.55-2.64, 2 O 2.60-2.62
Ac  0.5743  0.7991  0.0000  3 N 2.55-2.64, 2 O 2.60-2.62
Ac  0.9257  0.7991  0.5000  3 N 2.55-2.64, 2 O 2.60-2.62
Re  0.1948  0.6761  0.9994  1 N 1.84, 2 O 2.02
Re  0.3052  0.6761  0.4994  1 N 1.84, 2 O 2.02
Re  0.6948  0.3239  0.9994  1 N 1.84, 2 O 2.02
Re  0.8052  0.3239  0.4994  1 N 1.84, 2 O 2.02
N  0.0158  0.8398  0.9996  1 Re 1.84
N  0.4842  0.8398  0.4996  1 Re 1.84
N  0.5158  0.1602  0.9996  1 Re 1.84
N  0.9842  0.1602  0.4996  1 Re 1.84
O  0.2454  0.4576  0.7460  2 Re 2.02
O  0.2546  0.4576  0.2460  2 Re 2.02
O  0.7454  0.5424  0.7460  2 Re 2.02
O  0.7546  0.5424  0.2460  2 Re 2.02

Arrangement ii

Below is a relaxed AcReNO crystal, with properties calculated at the PBE level.

## Properties
- Total moment: 6.8 μB/cell

abc: 5.0118 5.0118 5.1550
angles: 90.00 90.00 90.00
With the nearest neighbours (Å) after each atom.
Positions (direct):
Ac  0.2500  0.7500  0.0000  2 O 2.58, 4 N 2.58
Ac  0.7500  0.2500  0.0000  2 O 2.58, 4 N 2.58
Re  0.2500  0.2500  0.4965  1 N 1.93
Re  0.7500  0.7500  0.5035  1 N 1.93
N  0.2500  0.2500  0.1217  1 Re 1.93
N  0.7500  0.7500  0.8783  1 Re 1.93
O  0.2500  0.7500  0.5000  4 Re 2.51, 2 Ac 2.58
O  0.7500  0.2500  0.5000  4 Re 2.51, 2 Ac 2.58

The structure with the greatest stability is arrangement i.

Arrangement i

Below is a relaxed AcReNO crystal, with properties calculated at the PBE level.

## Properties
- Total moment: 0.0 μB/cell

abc: 5.4538 9.5583 4.8857
angles: 90.00 90.00 90.00
With the nearest neighbours (Å) after each atom.
Positions (direct):
Ac  0.0042  0.1661  0.0000  4 O 2.50-2.58, 1 N 2.63
Ac  0.4958  0.1661  0.5000  4 O 2.50-2.58, 1 N 2.63
Ac  0.5042  0.8339  0.0000  4 O 2.50-2.58, 1 N 2.63
Ac  0.9958  0.8339  0.5000  4 O 2.50-2.58, 1 N 2.63
Re  0.1237  0.4908  0.6821  3 N 2.01-2.05
Re  0.3763  0.4908  0.1821  3 N 2.01-2.05
Re  0.6237  0.5092  0.6821  3 N 2.01-2.05
Re  0.8763  0.5092  0.1821  3 N 2.01-2.05
N  0.1090  0.3664  0.3508  3 Re 2.01-2.05
N  0.3910  0.3664  0.8508  3 Re 2.01-2.05
N  0.6090  0.6336  0.3508  3 Re 2.01-2.05
N  0.8910  0.6336  0.8508  3 Re 2.01-2.05
O  0.0643  0.9066  0.0032  4 Ac 2.50-2.58
O  0.4357  0.9066  0.5032  4 Ac 2.50-2.58
O  0.5643  0.0934  0.0032  4 Ac 2.50-2.58
O  0.9357  0.0934  0.5032  4 Ac 2.50-2.58

Arrangement ii

Below is a relaxed AcReNO crystal, with properties calculated at the PBE level.

## Properties
- Total moment: 6.8 μB/cell

abc: 5.0674 5.0674 5.0801
angles: 90.00 90.00 90.00
With the nearest neighbours (Å) after each atom.
Positions (direct):
Ac  0.2500  0.7500  0.0000  2 O 2.54, 4 N 2.60
Ac  0.7500  0.2500  0.0000  2 O 2.54, 4 N 2.60
Re  0.2500  0.2500  0.4988  1 N 1.94
Re  0.7500  0.7500  0.5012  1 N 1.94
N  0.2500  0.2500  0.1160  1 Re 1.94
N  0.7500  0.7500  0.8840  1 Re 1.94
O  0.2500  0.7500  0.5000  4 Re 2.53, 2 Ac 2.54
O  0.7500  0.2500  0.5000  4 Re 2.53, 2 Ac 2.54

The structure with the greatest stability is arrangement i.

Arrangement i

Below is a relaxed AcReNO crystal, with properties calculated at the PBE level.

## Properties
- Total moment: 0.0 μB/cell

abc: 3.8780 3.8780 8.6904
angles: 90.00 90.00 90.00
With the nearest neighbours (Å) after each atom.
Positions (direct):
Ac  0.2500  0.2500  0.1625  4 O 2.40
Ac  0.7500  0.7500  0.8375  4 O 2.40
Re  0.2500  0.7500  0.5000  4 N 2.16
Re  0.7500  0.2500  0.5000  4 N 2.16
N  0.2500  0.2500  0.6088  4 Re 2.16
N  0.7500  0.7500  0.3912  4 Re 2.16
O  0.2500  0.7500  0.0000  4 Ac 2.40
O  0.7500  0.2500  0.0000  4 Ac 2.40

Arrangement ii

Below is a relaxed AcReNO crystal, with properties calculated at the PBE level.

## Properties
- Total moment: 0.0 μB/cell

abc: 3.8960 5.6728 5.4613
angles: 90.00 90.00 90.00
With the nearest neighbours (Å) after each atom.
Positions (direct):
Ac  0.0000  0.2129  0.0000  4 O 2.65-2.68, 3 N 2.68-2.80
Ac  0.0000  0.7871  0.5000  4 O 2.65-2.68, 3 N 2.68-2.80
Re  0.5000  0.3145  0.4994  2 N 1.95
Re  0.5000  0.6855  0.9994  2 N 1.95
N  0.0000  0.3152  0.4988  2 Re 1.95
N  0.0000  0.6848  0.9988  2 Re 1.95
O  0.5000  0.0051  0.7503  2 Re 2.23-2.27
O  0.5000  0.9949  0.2503  2 Re 2.23-2.27

Arrangement iii

Below is a relaxed AcReNO crystal, with properties calculated at the PBE level.

## Properties
- Total moment: 0.0 μB/cell

abc: 4.0820 5.5941 5.6133
angles: 90.00 90.00 90.00
With the nearest neighbours (Å) after each atom.
Positions (direct):
Ac  0.0000  0.2442  0.0000  1 O 2.45
Ac  0.0000  0.7558  0.5000  1 O 2.45
Re  0.5000  0.2672  0.5009  2 N 1.91-1.92, 2 O 2.08
Re  0.5000  0.7328  0.0009  2 N 1.91-1.92, 2 O 2.08
N  0.5000  0.4992  0.2504  2 Re 1.91-1.92
N  0.5000  0.5008  0.7504  2 Re 1.91-1.92
O  0.0000  0.1933  0.5029  2 Re 2.08
O  0.0000  0.8067  0.0029  2 Re 2.08

The structure with the greatest stability is arrangement i.

Arrangement i

Below is a relaxed AcTcNO crystal, with properties calculated at the PBE level.

## Properties
- Total moment: 7.1 μB/cell

abc: 5.2446 5.2446 4.8331
angles: 90.00 90.00 90.00
With the nearest neighbours (Å) after each atom.
Positions (direct):
Ac  0.2500  0.7500  0.0000  2 O 2.42, 4 N 2.64
Ac  0.7500  0.2500  0.0000  2 O 2.42, 4 N 2.64
Tc  0.2500  0.2500  0.4844  1 N 2.02
Tc  0.7500  0.7500  0.5156  1 N 2.02
N  0.2500  0.2500  0.0659  1 Tc 2.02
N  0.7500  0.7500  0.9341  1 Tc 2.02
O  0.2500  0.7500  0.5000  2 Ac 2.42, 4 Tc 2.62
O  0.7500  0.2500  0.5000  2 Ac 2.42, 4 Tc 2.62

Arrangement ii

Below is a relaxed AcTcNO crystal, with properties calculated at the PBE level.

## Properties
- Total moment: 0.0 μB/cell

abc: 5.4721 9.3823 4.9174
angles: 90.00 90.00 90.00
With the nearest neighbours (Å) after each atom.
Positions (direct):
Ac  0.0032  0.1676  0.0000  4 O 2.48-2.60, 1 N 2.65
Ac  0.4968  0.1676  0.5000  4 O 2.48-2.60, 1 N 2.65
Ac  0.5032  0.8324  0.0000  4 O 2.48-2.60, 1 N 2.65
Ac  0.9968  0.8324  0.5000  4 O 2.48-2.60, 1 N 2.65
Tc  0.1266  0.4901  0.6869  3 N 1.98-2.03
Tc  0.3734  0.4901  0.1869  3 N 1.98-2.03
Tc  0.6266  0.5099  0.6869  3 N 1.98-2.03
Tc  0.8734  0.5099  0.1869  3 N 1.98-2.03
N  0.1037  0.3704  0.3572  3 Tc 1.98-2.03
N  0.3963  0.3704  0.8572  3 Tc 1.98-2.03
N  0.6037  0.6296  0.3572  3 Tc 1.98-2.03
N  0.8963  0.6296  0.8572  3 Tc 1.98-2.03
O  0.0651  0.9061  0.0042  4 Ac 2.48-2.60
O  0.4349  0.9061  0.5042  4 Ac 2.48-2.60
O  0.5651  0.0939  0.0042  4 Ac 2.48-2.60
O  0.9349  0.0939  0.5042  4 Ac 2.48-2.60

The structure with the greatest stability is arrangement ii.

Arrangement i

Below is a relaxed AcTcNO crystal, with properties calculated at the PBE level.

## Properties
- Total moment: 0.0 μB/cell

abc: 5.6213 4.1035 5.5623
angles: 90.00 90.00 90.00
With the nearest neighbours (Å) after each atom.
Positions (direct):
Ac  0.2500  0.0000  0.2470  1 O 2.43
Ac  0.7500  0.0000  0.7530  1 O 2.43
Tc  0.2500  0.5000  0.7291  2 N 1.90, 2 O 2.10
Tc  0.7500  0.5000  0.2709  2 N 1.90, 2 O 2.10
N  0.0000  0.5000  0.5000  2 Tc 1.90
N  0.5000  0.5000  0.5000  2 Tc 1.90
O  0.2500  0.0000  0.8099  2 Tc 2.10
O  0.7500  0.0000  0.1901  2 Tc 2.10

Arrangement ii

Below is a relaxed AcTcNO crystal, with properties calculated at the PBE level.

## Properties
- Total moment: 0.0 μB/cell

abc: 5.5066 3.8682 5.6908
angles: 90.00 90.00 90.00
With the nearest neighbours (Å) after each atom.
Positions (direct):
Ac  0.2500  0.0000  0.2106  4 O 2.66, 3 N 2.68-2.82
Ac  0.7500  0.0000  0.7894  4 O 2.66, 3 N 2.68-2.82
Tc  0.2500  0.5000  0.6900  2 N 1.93
Tc  0.7500  0.5000  0.3100  2 N 1.93
N  0.2500  0.0000  0.6813  2 Tc 1.93
N  0.7500  0.0000  0.3187  2 Tc 1.93
O  0.0000  0.5000  0.0000  2 Tc 2.24
O  0.5000  0.5000  0.0000  2 Tc 2.24

The structure with the greatest stability is arrangement ii.

Arrangement i

Below is a relaxed AcTcNO crystal, with properties calculated at the PBE level.

## Properties
- Total moment: 0.0 μB/cell

abc: 3.8733 3.8733 8.5745
angles: 90.00 90.00 90.00
With the nearest neighbours (Å) after each atom.
Positions (direct):
Ac  0.2500  0.2500  0.1645  4 O 2.40
Ac  0.7500  0.7500  0.8355  4 O 2.40
Tc  0.2500  0.7500  0.5000  4 N 2.14
Tc  0.7500  0.2500  0.5000  4 N 2.14
N  0.2500  0.2500  0.6068  4 Tc 2.14
N  0.7500  0.7500  0.3932  4 Tc 2.14
O  0.2500  0.7500  0.0000  4 Ac 2.40
O  0.7500  0.2500  0.0000  4 Ac 2.40

Arrangement ii

Below is a relaxed AcTcNO crystal, with properties calculated at the PBE level.

## Properties
- Total moment: 0.0 μB/cell

abc: 7.2542 7.0312 5.2203
angles: 90.00 90.00 90.00
With the nearest neighbours (Å) after each atom.
Positions (direct):
Ac  0.0913  0.1952  0.0000  2 O 2.59, 3 N 2.59-2.69
Ac  0.4087  0.1952  0.5000  2 O 2.59, 3 N 2.59-2.69
Ac  0.5913  0.8048  0.0000  2 O 2.59, 3 N 2.59-2.69
Ac  0.9087  0.8048  0.5000  2 O 2.59, 3 N 2.59-2.69
Tc  0.1876  0.6771  0.0005  1 N 1.83, 2 O 2.02
Tc  0.3124  0.6771  0.5005  1 N 1.83, 2 O 2.02
Tc  0.6876  0.3229  0.0005  1 N 1.83, 2 O 2.02
Tc  0.8124  0.3229  0.5005  1 N 1.83, 2 O 2.02
N  0.0084  0.1592  0.4996  1 Tc 1.83
N  0.4916  0.1592  0.9996  1 Tc 1.83
N  0.5084  0.8408  0.4996  1 Tc 1.83
N  0.9916  0.8408  0.9996  1 Tc 1.83
O  0.2467  0.4680  0.2526  2 Tc 2.02
O  0.2533  0.4680  0.7526  2 Tc 2.02
O  0.7467  0.5320  0.2526  2 Tc 2.02
O  0.7533  0.5320  0.7526  2 Tc 2.02

The structure with the greatest stability is arrangement i.

Arrangement i

Below is a relaxed Ac2Nb2O5 crystal, with properties calculated at the PBE level.

## Properties
- Total moment: 0.0 μB/cell

abc: 4.1599 4.1599 7.4033
angles: 90.00 90.00 90.00
With the nearest neighbours (Å) after each atom.
Positions (direct):
Ac  0.0000  0.0000  0.0000  8 O 2.75
Ac  0.0000  0.0000  0.5000  12 O 2.82-2.94
Nb  0.5000  0.5000  0.2001  5 O 2.10-2.22
Nb  0.5000  0.5000  0.7999  5 O 2.10-2.22
O  0.0000  0.5000  0.2436  2 Nb 2.10
O  0.0000  0.5000  0.7564  2 Nb 2.10
O  0.5000  0.0000  0.2436  2 Nb 2.10
O  0.5000  0.0000  0.7564  2 Nb 2.10
O  0.5000  0.5000  0.5000  2 Nb 2.22

Arrangement ii

Below is a relaxed Ac2Nb2O5 crystal, with properties calculated at the PBE level.

## Properties
- Total moment: 6.0 μB/cell

abc: 4.6624 4.6624 7.4937
angles: 90.00 90.00 90.00
With the nearest neighbours (Å) after each atom.
Positions (direct):
Ac  0.0000  0.0000  0.2137  5 O 2.15-2.35
Ac  0.0000  0.0000  0.7863  5 O 2.15-2.35
Nb  0.5000  0.5000  0.0000  8 O 3.03
Nb  0.5000  0.5000  0.5000  12 O 2.96-3.30
O  0.0000  0.0000  0.5000  2 Ac 2.15
O  0.0000  0.5000  0.2573  2 Ac 2.35
O  0.0000  0.5000  0.7427  2 Ac 2.35
O  0.5000  0.0000  0.2573  2 Ac 2.35
O  0.5000  0.0000  0.7427  2 Ac 2.35

The structure with the greatest stability is arrangement i.

Arrangement i

Below is a relaxed AcNbPb crystal, with properties calculated at the PBE level.

## Properties
- Total moment: 3.9 μB/cell

abc: 5.3928 5.3928 5.3928
angles: 60.00 60.00 60.00
With the nearest neighbours (Å) after each atom.
Positions (direct):
Ac  0.0000  0.0000  0.0000  4 Nb 3.30, 4 Pb 3.30
Nb  0.7500  0.7500  0.7500  4 Ac 3.30
Pb  0.2500  0.2500  0.2500  4 Ac 3.30

Arrangement ii

Below is a relaxed AcNbPb crystal, with properties calculated at the PBE level.

## Properties
- Total moment: 3.6 μB/cell

abc: 5.1910 5.1910 5.1910
angles: 60.00 60.00 60.00
With the nearest neighbours (Å) after each atom.
Positions (direct):
Ac  0.0000  0.0000  0.0000  4 Nb 3.18
Nb  0.2500  0.2500  0.2500  4 Ac 3.18, 4 Pb 3.18
Pb  0.5000  0.5000  0.5000  4 Nb 3.18

The structure with the greatest stability is arrangement ii.

Arrangement i

Below is a relaxed AcNbSi crystal, with properties calculated at the PBE level.

## Properties
- Total moment: 1.5 μB/cell

abc: 4.8552 4.8552 4.8552
angles: 60.00 60.00 60.00
With the nearest neighbours (Å) after each atom.
Positions (direct):
Ac  0.0000  0.0000  0.0000  4 Si 2.97
Nb  0.5000  0.5000  0.5000  4 Si 2.97
Si  0.2500  0.2500  0.2500  4 Ac 2.97, 4 Nb 2.97

Arrangement ii

Below is a relaxed AcNbSi crystal, with properties calculated at the PBE level.

## Properties
- Total moment: 3.9 μB/cell

abc: 5.1149 5.1149 5.1149
angles: 60.00 60.00 60.00
With the nearest neighbours (Å) after each atom.
Positions (direct):
Ac  0.0000  0.0000  0.0000  4 Nb 3.13, 4 Si 3.13
Nb  0.7500  0.7500  0.7500  4 Ac 3.13
Si  0.2500  0.2500  0.2500  4 Ac 3.13

The structure with the greatest stability is arrangement i.

Arrangement i

Below is a relaxed AcNbSn crystal, with properties calculated at the PBE level.

## Properties
- Total moment: 3.9 μB/cell

abc: 5.3480 5.3480 5.3480
angles: 60.00 60.00 60.00
With the nearest neighbours (Å) after each atom.
Positions (direct):
Ac  0.0000  0.0000  0.0000  4 Nb 3.27, 4 Sn 3.27
Nb  0.7500  0.7500  0.7500  4 Ac 3.27
Sn  0.2500  0.2500  0.2500  4 Ac 3.27

Arrangement ii

Below is a relaxed AcNbSn crystal, with properties calculated at the PBE level.

## Properties
- Total moment: 1.6 μB/cell

abc: 5.1462 5.1462 5.1462
angles: 60.00 60.00 60.00
With the nearest neighbours (Å) after each atom.
Positions (direct):
Ac  0.0000  0.0000  0.0000  4 Sn 3.15
Nb  0.5000  0.5000  0.5000  4 Sn 3.15
Sn  0.2500  0.2500  0.2500  4 Nb 3.15, 4 Ac 3.15

The structure with the greatest stability is arrangement ii.

Arrangement i

Below is a relaxed AcNbTe crystal, with properties calculated at the PBE level.

## Properties
- Total moment: 0.0 μB/cell

abc: 4.9441 4.9441 4.9441
angles: 60.00 60.00 60.00
With the nearest neighbours (Å) after each atom.
Positions (direct):
Ac  0.0000  0.0000  0.0000  4 Nb 3.03
Nb  0.2500  0.2500  0.2500  4 Ac 3.03, 4 Te 3.03
Te  0.5000  0.5000  0.5000  4 Nb 3.03

Arrangement ii

Below is a relaxed AcNbTe crystal, with properties calculated at the PBE level.

## Properties
- Total moment: 4.9 μB/cell

abc: 5.4849 5.4849 5.4849
angles: 60.00 60.00 60.00
With the nearest neighbours (Å) after each atom.
Positions (direct):
Ac  0.0000  0.0000  0.0000  4 Nb 3.36, 4 Te 3.36
Nb  0.7500  0.7500  0.7500  4 Ac 3.36
Te  0.2500  0.2500  0.2500  4 Ac 3.36

The structure with the greatest stability is arrangement i.